1.
First-principles (GGA-PBE) data for crystalline Rb2SrHg2S4 at its relaxed geometry, as listed in the Alexandria database.

It has space group C2/m (No. 12), with a = 16.4643 Å, b = 4.3104 Å, c = 8.0224 Å, α = 90.00°, β = 109.46° and γ = 90.00°. The distinct sites, in fractional coordinates, are Rb at (0.1255, 0.0000, 0.0524), Sr at (0.0000, 0.0000, 0.5000), Hg at (0.1656, 0.5000, 0.4866), S at (0.0194, 0.5000, 0.2561) and S at (0.2077, 0.0000, 0.6854).

As for the energy relative to the elements, uncorrected: -0.95 eV per atom.

2.
First-principles (GGA-PBE) data for crystalline KNpZnO6 at its relaxed geometry, as listed in the Alexandria database.

It has space group P-31c (No. 163), with a = 5.3834 Å, b = 5.3834 Å, c = 12.1285 Å, α = 90.00°, β = 90.00° and γ = 120.00°. The distinct sites, in fractional coordinates, are K at (0.0000, 0.0000, 0.0000), Np at (0.3333, 0.6667, 0.2500), Zn at (0.3333, 0.6667, 0.7500) and O at (0.0146, 0.3791, 0.1579).

As for the energy relative to the elements, uncorrected: -1.66 eV per atom.

3.
First-principles (GGA-PBE) data for crystalline LiSn2Ru2 at its relaxed geometry, as listed in the Alexandria database.

It has space group I4/mmm (No. 139), with a = 4.7574 Å, b = 4.7574 Å, c = 9.4140 Å, α = 90.00°, β = 90.00° and γ = 90.00°. The distinct sites, in fractional coordinates, are Li at (0.0000, 0.0000, 0.0000), Sn at (0.0000, 0.5000, 0.2500) and Ru at (0.0000, 0.0000, 0.3780).

The value obtained for the energy above the most stable polymorph in this dataset is 1.51 eV/f.u. The calculation puts the energy of formation at 0.153 eV/atom.

4.
First-principles (GGA-PBE) data for crystalline CuNi7Ge4 at its relaxed geometry, as listed in the Alexandria database.

It has space group C2/m (No. 12), with a = 10.0479 Å, b = 4.3647 Å, c = 8.5739 Å, α = 90.00°, β = 122.49° and γ = 90.00°. The distinct sites, in fractional coordinates, are Cu at (0.0000, 0.0000, 0.0000), Ni at (0.0000, 0.5000, 0.0000), Ni at (0.0791, 0.0000, 0.3321), Ni at (0.1366, 0.5000, 0.5321), Ni at (0.2060, 0.0000, 0.9025), Ge at (0.0869, 0.5000, 0.7798) and Ge at (0.2359, 0.5000, 0.3269).

The calculation puts the energy of formation at -0.033 eV/atom.

5.
First-principles (GGA-PBE) data for crystalline CaHoZnCd at its relaxed geometry, as listed in the Alexandria database.

It has space group F-43m (No. 216), with a = 7.3844 Å, b = 7.3844 Å, c = 7.3844 Å, α = 90.00°, β = 90.00° and γ = 90.00°. The distinct sites, in fractional coordinates, are Ca at (0.0000, 0.0000, 0.0000), Ho at (0.0000, 0.0000, 0.5000), Zn at (0.2500, 0.2500, 0.7500) and Cd at (0.2500, 0.2500, 0.2500).

The value obtained for the energy above the most stable polymorph in this dataset is 0.09 eV/f.u. The calculation puts the energy of formation at -0.296 eV/atom.

6.
First-principles (GGA-PBE) data for crystalline TlGa at its relaxed geometry, as listed in the Alexandria database.

It has space group Fddd (No. 70, origin choice 2), with a = 5.7857 Å, b = 9.5520 Å, c = 15.3339 Å, α = 90.00°, β = 90.00° and γ = 90.00°. The distinct sites, in fractional coordinates, are Tl at (0.1250, 0.2887, 0.1250) and Ga at (0.1250, 0.1250, 0.5396).

The calculation puts the energy of formation at 0.129 eV/atom.

7.
First-principles (GGA-PBE) data for crystalline NbCd2N2 at its relaxed geometry, as listed in the Alexandria database.

It has space group I4/mmm (No. 139), with a = 3.6747 Å, b = 3.6747 Å, c = 11.5192 Å, α = 90.00°, β = 90.00° and γ = 90.00°. The distinct sites, in fractional coordinates, are Nb at (0.0000, 0.0000, 0.0000), Cd at (0.0000, 0.5000, 0.2500) and N at (0.0000, 0.0000, 0.4448).

The value obtained for the energy above the most stable polymorph in this dataset is 3.15 eV/f.u. As for the energy relative to the elements, uncorrected: 0.92 eV per atom.

8.
First-principles (GGA-PBE) data for crystalline Lu2ZrSc at its relaxed geometry, as listed in the Alexandria database.

It has space group Fm-3m (No. 225), with a = 7.5161 Å, b = 7.5161 Å, c = 7.5161 Å, α = 90.00°, β = 90.00° and γ = 90.00°. The distinct sites, in fractional coordinates, are Lu at (0.2500, 0.2500, 0.2500), Zr at (0.0000, 0.0000, 0.0000) and Sc at (0.0000, 0.0000, 0.5000).

The value obtained for the energy above the most stable polymorph in this dataset is 0.46 eV/f.u. The calculation puts the energy of formation at 0.175 eV/atom.

9.
First-principles (GGA-PBE) data for crystalline TlIn9Ga2 at its relaxed geometry, as listed in the Alexandria database.

It has space group P4/mmm (No. 123), with a = 4.8424 Å, b = 4.8424 Å, c = 13.3895 Å, α = 90.00°, β = 90.00° and γ = 90.00°. The distinct sites, in fractional coordinates, are Tl at (0.0000, 0.0000, 0.0000), In at (0.0000, 0.5000, 0.1810), In at (0.0000, 0.5000, 0.5000), In at (0.5000, 0.5000, 0.0000), In at (0.5000, 0.5000, 0.3410) and Ga at (0.0000, 0.0000, 0.3402).

The calculation puts the energy of formation at 0.050 eV/atom.

10.
First-principles (GGA-PBE) data for crystalline La3ScZn at its relaxed geometry, as listed in the Alexandria database.

It has space group Pm-3m (No. 221), with a = 5.7100 Å, b = 5.7100 Å, c = 5.7100 Å, α = 90.00°, β = 90.00° and γ = 90.00°. The distinct sites, in fractional coordinates, are La at (0.0000, 0.0000, 0.5000), Sc at (0.5000, 0.5000, 0.5000) and Zn at (0.0000, 0.0000, 0.0000).

The value obtained for the energy above the most stable polymorph in this dataset is 0.00 eV/f.u. The calculation puts the energy of formation at 0.339 eV/atom.

11.
First-principles (GGA-PBE) data for crystalline TlSiBi2 at its relaxed geometry, as listed in the Alexandria database.

It has space group I-42d (No. 122), with a = 8.4371 Å, b = 8.4371 Å, c = 6.8255 Å, α = 90.00°, β = 90.00° and γ = 90.00°. The distinct sites, in fractional coordinates, are Tl at (0.0000, 0.0000, 0.0000), Si at (0.0000, 0.0000, 0.5000) and Bi at (0.1949, 0.2500, 0.6250).

As for the energy relative to the elements, uncorrected: 0.26 eV per atom.

12.
First-principles (GGA-PBE) data for crystalline Te3Rh at its relaxed geometry, as listed in the Alexandria database.

It has space group P4/mmm (No. 123), with a = 3.1787 Å, b = 3.1787 Å, c = 10.3656 Å, α = 90.00°, β = 90.00° and γ = 90.00°. The distinct sites, in fractional coordinates, are Te at (0.0000, 0.0000, 0.0000), Te at (0.5000, 0.5000, 0.3308) and Rh at (0.0000, 0.0000, 0.5000).

As for the energy relative to the elements, uncorrected: 0.00 eV per atom.

13.
First-principles (GGA-PBE) data for crystalline PrPuIr at its relaxed geometry, as listed in the Alexandria database.

It has space group F-43m (No. 216), with a = 6.9251 Å, b = 6.9251 Å, c = 6.9251 Å, α = 90.00°, β = 90.00° and γ = 90.00°. The distinct sites, in fractional coordinates, are Pr at (0.0000, 0.0000, 0.0000), Pu at (0.0000, 0.0000, 0.5000) and Ir at (0.2500, 0.2500, 0.2500).

The value obtained for the energy above the most stable polymorph in this dataset is 0.40 eV/f.u. The calculation puts the energy of formation at -0.332 eV/atom.

14.
First-principles (GGA-PBE) data for crystalline BeRe2Se at its relaxed geometry, as listed in the Alexandria database.

It has space group Immm (No. 71), with a = 3.1129 Å, b = 4.5126 Å, c = 7.9489 Å, α = 90.00°, β = 90.00° and γ = 90.00°. The distinct sites, in fractional coordinates, are Be at (0.0000, 0.0000, 0.0000), Re at (0.0000, 0.5000, 0.2960) and Se at (0.0000, 0.0000, 0.5000).

The value obtained for the energy above the most stable polymorph in this dataset is 1.72 eV/f.u. As for the energy relative to the elements, uncorrected: 0.55 eV per atom.

15.
First-principles (GGA-PBE) data for crystalline PmErAlNi at its relaxed geometry, as listed in the Alexandria database.

It has space group F-43m (No. 216), with a = 7.0975 Å, b = 7.0975 Å, c = 7.0975 Å, α = 90.00°, β = 90.00° and γ = 90.00°. The distinct sites, in fractional coordinates, are Pm at (0.0000, 0.0000, 0.0000), Er at (0.0000, 0.0000, 0.5000), Al at (0.2500, 0.2500, 0.2500) and Ni at (0.2500, 0.2500, 0.7500).

The calculation puts the energy of formation at -0.275 eV/atom.

16.
First-principles (GGA-PBE) data for crystalline TbEr4Sc7 at its relaxed geometry, as listed in the Alexandria database.

It has space group C2/m (No. 12), with a = 11.8166 Å, b = 5.3835 Å, c = 10.4666 Å, α = 90.00°, β = 99.24° and γ = 90.00°. The distinct sites, in fractional coordinates, are Tb at (0.0000, 0.0000, 0.0000), Er at (0.0959, 0.5000, 0.7633), Er at (0.1534, 0.5000, 0.4497), Sc at (0.0000, 0.5000, 0.0000), Sc at (0.0933, 0.0000, 0.6034), Sc at (0.1347, 0.0000, 0.2752) and Sc at (0.2484, 0.5000, 0.1073).

The calculation puts the energy of formation at 0.257 eV/atom.

17.
First-principles (GGA-PBE) data for crystalline FeNiMo2 at its relaxed geometry, as listed in the Alexandria database.

It has space group Fm-3m (No. 225), with a = 6.0110 Å, b = 6.0110 Å, c = 6.0110 Å, α = 90.00°, β = 90.00° and γ = 90.00°. The distinct sites, in fractional coordinates, are Fe at (0.0000, 0.0000, 0.0000), Ni at (0.0000, 0.0000, 0.5000) and Mo at (0.2500, 0.2500, 0.2500).

The value obtained for the energy above the most stable polymorph in this dataset is 0.77 eV/f.u. The calculation puts the energy of formation at 0.244 eV/atom.

18.
First-principles (GGA-PBE) data for crystalline GdY2Pd at its relaxed geometry, as listed in the Alexandria database.

It has space group P4/mmm (No. 123), with a = 3.5760 Å, b = 3.5760 Å, c = 8.5819 Å, α = 90.00°, β = 90.00° and γ = 90.00°. The distinct sites, in fractional coordinates, are Gd at (0.0000, 0.0000, 0.0000), Y at (0.5000, 0.5000, 0.3038) and Pd at (0.0000, 0.0000, 0.5000).

The calculation puts the energy of formation at -0.399 eV/atom.

19.
First-principles (GGA-PBE) data for crystalline CdFeSi2 at its relaxed geometry, as listed in the Alexandria database.

It has space group I4/mmm (No. 139), with a = 3.9394 Å, b = 3.9394 Å, c = 7.8375 Å, α = 90.00°, β = 90.00° and γ = 90.00°. The distinct sites, in fractional coordinates, are Cd at (0.0000, 0.0000, 0.0000), Fe at (0.0000, 0.0000, 0.5000) and Si at (0.0000, 0.5000, 0.2500).

As for the energy relative to the elements, uncorrected: 0.45 eV per atom.

Number 1: total magnetic moment 0.0 μB per cell. Number 2: total magnetic moment 4.2 μB per cell. Number 3: total magnetic moment 0.0 μB per cell. Number 4: total magnetic moment 0.0 μB per cell. Number 5: total magnetic moment 0.0 μB per cell. Number 6: total magnetic moment 0.0 μB per cell. Number 7: total magnetic moment 0.9 μB per cell. Number 8: total magnetic moment 11.7 μB per cell. Number 9: total magnetic moment 0.0 μB per cell. Number 10: total magnetic moment 0.1 μB per cell. Number 11: total magnetic moment 0.0 μB per cell. Number 12: total magnetic moment 0.0 μB per cell. Number 13: total magnetic moment 23.1 μB per cell. Number 14: total magnetic moment 0.0 μB per cell. Number 15: total magnetic moment 0.0 μB per cell. Number 16: total magnetic moment 0.8 μB per cell. Number 17: total magnetic moment 7.8 μB per cell. Number 18: total magnetic moment 7.9 μB per cell. Number 19: total magnetic moment 4.4 μB per cell.